Entry 1:
Density functional theory data (PBE) for crystalline CuAg at its relaxed geometry.

Electronic total energy, eV per atom: -3.23
Energy of formation from the pure elements, eV per atom: 0.0359

Cell and atoms, written as extended XYZ:
```
168
Lattice="9.011 0.000 0.000 -3.056 10.724 0.000 -3.551 -4.684 25.898" Properties=species:S:1:pos:R:3 pbc="T T T"
Ag 6.008 3.308 0.424
Ag -0.158 9.169 0.473
Ag -1.568 6.231 0.484
Ag 4.502 0.844 0.486
Ag 4.927 7.487 1.001
Ag 3.386 5.072 1.074
Ag -2.705 10.413 1.085
Ag 2.253 6.318 11.917
Ag -1.711 4.545 12.484
Ag -0.290 7.517 12.491
Ag 5.680 2.188 12.498
Ag 4.173 -0.237 12.542
Ag 1.676 1.010 13.062
Ag 0.268 -1.903 13.092
Ag -4.255 6.362 13.116
Ag 3.138 3.840 13.204
Ag -0.760 2.286 13.723
Ag -2.260 -0.192 13.759
Ag 0.629 5.140 13.879
Ag 2.128 8.123 13.927
Ag 2.597 -1.291 14.661
Ag -1.898 6.610 14.667
Ag -3.455 4.058 14.690
Ag 4.033 1.485 14.731
Ag 0.108 0.101 15.322
Ag 3.027 5.680 15.345
Ag -1.387 -2.483 15.351
Ag 1.528 2.841 15.353
Ag -2.441 1.692 15.998
Ag -0.977 4.277 16.030
Ag 0.514 7.086 16.048
Ag 5.050 -0.855 16.091
Ag 0.997 -2.173 16.856
Ag -3.585 5.931 16.872
Ag 3.902 3.326 16.888
Ag 2.448 0.557 16.893
Ag 1.401 4.759 17.535
Ag -1.549 -0.598 17.552
Ag -0.073 2.011 17.555
Ag 2.892 7.499 17.559
Ag -1.119 6.212 18.232
Ag -2.624 3.580 18.243
Ag 4.898 0.982 18.262
Ag 3.418 -1.776 18.265
Ag -0.667 -2.914 19.063
Ag 0.828 -0.291 19.073
Ag 2.297 2.449 19.078
Ag 3.778 5.175 19.082
Ag -0.223 3.911 19.746
Ag 1.260 6.626 19.747
Ag -3.212 -1.352 19.751
Ag -1.720 1.277 19.760
Ag 1.786 -2.641 20.449
Ag 3.266 0.105 20.455
Ag -2.764 5.468 20.462
Ag -4.268 2.843 20.470
Ag 0.668 1.579 21.268
Ag -2.325 -3.658 21.270
Ag -0.836 -1.033 21.273
Ag 2.152 4.325 21.280
Ag 4.177 -2.213 21.940
Ag -0.349 5.770 21.953
Ag -1.869 3.148 21.961
Ag -3.366 0.527 21.965
Ag 1.629 -0.793 22.635
Ag 3.116 1.976 22.639
Ag -4.433 4.757 22.674
Ag 0.121 -3.365 22.676
Ag 0.526 3.409 23.464
Ag -2.482 -1.749 23.491
Ag 2.036 6.224 23.494
Ag -0.988 0.836 23.514
Ag 2.577 -3.104 24.124
Ag -2.044 5.046 24.133
Ag 4.029 -0.348 24.152
Ag -3.543 2.442 24.163
Ag 1.542 1.012 24.786
Ag 2.979 3.853 24.825
Ag -0.035 -1.531 24.923
Ag -1.524 -3.983 24.953
Ag 0.360 5.239 25.601
Ag -1.202 2.759 25.715
Ag -2.680 0.207 25.745
Ag -4.035 -2.602 25.749
Cu 1.756 2.828 1.209
Cu 6.896 0.844 1.721
Cu 2.243 9.323 1.771
Cu -0.768 3.982 1.774
Cu 0.601 7.138 1.840
Cu 4.108 2.833 2.277
Cu 5.784 5.060 2.278
Cu 2.496 0.758 2.295
Cu -1.871 8.207 2.318
Cu 0.009 1.792 2.735
Cu 4.571 9.298 2.770
Cu 2.948 7.128 2.781
Cu 1.312 4.995 2.782
Cu 6.523 2.770 3.193
Cu 4.900 0.644 3.254
Cu -1.128 6.007 3.276
Cu 0.191 9.312 3.286
Cu 5.386 7.011 3.712
Cu 0.782 -0.445 3.767
Cu 3.743 4.908 3.770
Cu 2.086 2.852 3.782
Cu 7.328 0.536 4.208
Cu -0.376 3.795 4.268
Cu 2.590 9.167 4.285
Cu 0.935 7.125 4.323
Cu 6.182 4.742 4.719
Cu 4.521 2.692 4.764
Cu -1.506 8.061 4.779
Cu 2.864 0.668 4.802
Cu 5.047 8.996 5.214
Cu 0.410 1.591 5.251
Cu 3.376 6.953 5.265
Cu 1.705 4.926 5.300
Cu 6.961 2.512 5.703
Cu 5.303 0.484 5.761
Cu -0.739 5.841 5.767
Cu 0.569 9.193 5.811
Cu 5.824 6.759 6.195
Cu 4.150 4.736 6.252
Cu 1.183 -0.618 6.255
Cu 2.484 2.719 6.296
Cu -1.264 0.294 6.700
Cu 0.035 3.624 6.753
Cu 3.022 8.996 6.762
Cu 1.346 6.974 6.810
Cu -2.410 4.537 7.201
Cu 4.936 2.522 7.253
Cu -1.093 7.891 7.255
Cu 3.274 0.495 7.304
Cu -3.542 8.805 7.701
Cu 3.795 6.781 7.742
Cu 0.816 1.418 7.744
Cu 2.118 4.738 7.792
Cu -1.640 2.341 8.212
Cu -0.333 5.664 8.245
Cu 5.716 0.315 8.255
Cu 0.999 8.993 8.302
Cu -2.767 6.605 8.677
Cu 4.566 4.566 8.730
Cu 1.595 -0.789 8.741
Cu 2.910 2.480 8.777
Cu -0.862 0.163 9.200
Cu 3.444 8.828 9.248
Cu 0.434 3.445 9.249
Cu 1.775 6.728 9.282
Cu -2.040 4.412 9.718
Cu -0.679 7.717 9.745
Cu 5.346 2.351 9.761
Cu 3.710 0.240 9.812
Cu -3.171 8.728 10.221
Cu 4.236 6.639 10.222
Cu 2.553 4.415 10.252
Cu 1.205 1.250 10.262
Cu 0.052 5.463 10.716
Cu -1.238 2.268 10.753
Cu 1.460 8.688 10.760
Cu 6.146 0.134 10.762
Cu -2.434 6.594 11.149
Cu 1.967 -0.968 11.217
Cu 4.901 4.424 11.220
Cu 3.304 2.192 11.241
Cu -0.520 0.124 11.708
Cu 0.870 3.301 11.784
Cu 6.883 -2.067 11.788
```



Entry 2:
Density functional theory data (PBE) for crystalline Cu4Ag5 at its relaxed geometry.

Electronic total energy, eV per atom: -3.13
Relative energy among the computed polymorphs, meV per atom: 58
Energy of formation from the pure elements, eV per atom: 0.0955

Cell and atoms, written as extended XYZ:
```
9
Lattice="-1.410 1.900 12.788 1.410 -1.900 12.788 1.410 1.900 -12.788" Properties=species:S:1:pos:R:3 pbc="T T T"
Ag 0.000 0.000 0.000
Ag 0.000 0.000 2.799
Ag 0.000 0.000 5.603
Ag 0.000 0.000 19.972
Ag 0.000 0.000 22.776
Cu 0.000 0.000 8.605
Cu 0.000 0.000 11.389
Cu 0.000 0.000 14.186
Cu 0.000 0.000 16.970
```



Entry 3:
Density functional theory data (PBE) for crystalline CuAg at its relaxed geometry.

Electronic total energy, eV per atom: -3.20
Energy of formation from the pure elements, eV per atom: 0.0746

Cell and atoms, written as extended XYZ:
```
8
Lattice="2.804 0.000 0.000 0.000 3.689 0.000 0.000 0.000 11.505" Properties=species:S:1:pos:R:3 pbc="T T T"
Ag 0.000 0.000 3.273
Ag 1.402 1.845 4.927
Ag 0.000 0.000 6.578
Ag 1.402 1.845 8.233
Cu 0.000 0.000 0.616
Cu 1.402 1.845 1.846
Cu 0.000 0.000 9.660
Cu 1.402 1.845 10.889
```



Entry 4:
Density functional theory data (PBE) for crystalline Cu5Ag3 at its relaxed geometry.

Electronic total energy, eV per atom: -3.30
Relative energy among the computed polymorphs, meV per atom: 37
Energy of formation from the pure elements, eV per atom: 0.0843

Cell and atoms, written as extended XYZ:
```
8
Lattice="-0.962 0.294 -2.600 -1.032 -2.588 0.089 -12.537 5.178 5.222" Properties=species:S:1:pos:R:3 pbc="T T T"
Ag -0.997 -1.147 -1.256
Ag -4.265 0.203 0.106
Ag -10.265 2.681 2.605
Cu -1.634 0.675 0.681
Cu -4.917 2.031 2.048
Cu -7.265 1.442 1.356
Cu -7.620 3.147 3.174
Cu -10.903 4.503 4.542
```



Question: The lowest electronic total energy belongs to which entry?
Answer: Cu5Ag3